Entry w
Compound: CsSbIr
Source: the Open Quantum Materials Database
Functional: GGA-PBE
Structure: relaxed

a b c (Å): 7.102 7.102 7.102
angles (deg): 90.00 90.00 90.00
Space group F-43m (No. 216)
One atom of each set of equivalent atoms:
Cs (0.000, 0.000, 0.000)
Sb (0.000, 0.000, 0.500)
Ir (0.250, 0.250, 0.250)

---

Entry x
Compound: CsSbIr
Source: the Open Quantum Materials Database
Functional: GGA-PBE
Structure: relaxed

a b c (Å): 7.377 7.377 7.377
angles (deg): 90.00 90.00 90.00
Space group F-43m (No. 216)
One atom of each set of equivalent atoms:
Cs (0.000, 0.000, 0.000)
Sb (0.250, 0.250, 0.250)
Ir (0.250, 0.250, 0.750)

---

entry w (1113 meV/atom below the next structure)

---

Entry w
Compound: CsTbIr
Source: the Open Quantum Materials Database
Functional: GGA-PBE
Structure: relaxed

a b c (Å): 7.143 7.143 7.143
angles (deg): 90.00 90.00 90.00
Space group F-43m (No. 216)
One atom of each set of equivalent atoms:
Cs (0.000, 0.000, 0.000)
Tb (0.000, 0.000, 0.500)
Ir (0.250, 0.250, 0.250)

---

Entry x
Compound: CsTbIr
Source: the Open Quantum Materials Database
Functional: GGA-PBE
Structure: relaxed

a b c (Å): 6.949 6.949 6.949
angles (deg): 90.00 90.00 90.00
Space group F-43m (No. 216)
One atom of each set of equivalent atoms:
Cs (0.000, 0.000, 0.000)
Tb (0.250, 0.250, 0.250)
Ir (0.250, 0.250, 0.750)

---

entry w (841 meV/atom below the next structure)

---

Entry w
Compound: CsKNb
Source: the Open Quantum Materials Database
Functional: GGA-PBE
Structure: relaxed

a b c (Å): 8.856 8.856 8.856
angles (deg): 90.00 90.00 90.00
Space group F-43m (No. 216)
One atom of each set of equivalent atoms:
Cs (0.000, 0.000, 0.000)
K (0.250, 0.250, 0.250)
Nb (0.000, 0.000, 0.500)

---

Entry x
Compound: CsKNb
Source: the Open Quantum Materials Database
Functional: GGA-PBE
Structure: relaxed

a b c (Å): 8.889 8.889 8.889
angles (deg): 90.00 90.00 90.00
Space group F-43m (No. 216)
One atom of each set of equivalent atoms:
Cs (0.000, 0.000, 0.000)
K (0.250, 0.250, 0.750)
Nb (0.250, 0.250, 0.250)

---

entry w (76 meV/atom below the next structure)

---

Entry w
Compound: CsKOs
Source: the Open Quantum Materials Database
Functional: GGA-PBE
Structure: relaxed

a b c (Å): 8.089 8.089 8.089
angles (deg): 90.00 90.00 90.00
Space group F-43m (No. 216)
One atom of each set of equivalent atoms:
Cs (0.000, 0.000, 0.000)
K (0.000, 0.000, 0.500)
Os (0.250, 0.250, 0.250)

---

Entry x
Compound: CsKOs
Source: the Open Quantum Materials Database
Functional: GGA-PBE
Structure: relaxed

a b c (Å): 7.899 7.899 7.899
angles (deg): 90.00 90.00 90.00
Space group F-43m (No. 216)
One atom of each set of equivalent atoms:
Cs (0.000, 0.000, 0.000)
K (0.250, 0.250, 0.750)
Os (0.250, 0.250, 0.250)

---

entry w (176 meV/atom below the next structure)

---

Entry w
Compound: Cs2K2ZnP2
Source: the Open Quantum Materials Database
Functional: GGA-PBE
Structure: relaxed

a b c (Å): 6.0467 6.0467 25.9995
angles (deg): 90.00 90.00 120.00
Space group R-3m (No. 166, hexagonal axes)
One atom of each set of equivalent atoms:
Cs (0.0000, 0.0000, 0.1182)
K (0.0000, 0.0000, 0.2926)
Zn (0.0000, 0.0000, 0.5000)
P (0.0000, 0.0000, 0.4145)

---

Entry x
Compound: Cs2K2ZnP2
Source: the Open Quantum Materials Database
Functional: GGA-PBE
Structure: relaxed

a b c (Å): 5.8013 5.8013 28.3028
angles (deg): 90.00 90.00 120.00
Space group R-3m (No. 166, hexagonal axes)
One atom of each set of equivalent atoms:
Cs (0.0000, 0.0000, 0.2085)
K (0.0000, 0.0000, 0.3796)
Zn (0.0000, 0.0000, 0.0000)
P (0.0000, 0.0000, 0.0784)

---

entry x (19 meV/atom below the next structure)

---

Entry w
Compound: CsKTcSe3
Source: the Open Quantum Materials Database
Functional: GGA-PBE
Structure: relaxed

a b c (Å): 7.325 8.012 9.010
angles (deg): 83.81 66.09 62.97
Space group P-1 (No. 2)
One atom of each set of equivalent atoms:
Cs (0.106, 0.087, 0.187)
K (0.283, 0.309, 0.631)
Tc (0.444, 0.440, 0.163)
Se (0.216, 0.661, 0.395)
Se (0.236, 0.503, 0.995)
Se (0.445, 0.871, 0.758)

---

Entry x
Compound: CsKTcSe3
Source: the Open Quantum Materials Database
Functional: GGA-PBE
Structure: relaxed

a b c (Å): 8.920 3.967 10.611
angles (deg): 90.00 91.17 90.00
Space group P2_1/m (No. 11)
One atom of each set of equivalent atoms:
Cs (0.084, 0.250, 0.152)
K (0.298, 0.750, 0.502)
Tc (0.436, 0.250, 0.843)
Se (0.196, 0.250, 0.721)
Se (0.344, 0.750, 0.985)
Se (0.442, 0.250, 0.282)

---

entry w (135 meV/atom below the next structure)

---

Entry w
Compound: CsKZrSe3
Source: the Open Quantum Materials Database
Functional: GGA-PBE
Structure: relaxed

a b c (Å): 4.037 18.618 11.858
angles (deg): 90.00 90.00 90.00
Space group Cmcm (No. 63)
One atom of each set of equivalent atoms:
Cs (0.000, 0.167, 0.250)
K (0.000, 0.115, 0.750)
Zr (0.000, 0.500, 0.000)
Se (0.000, 0.098, 0.503)
Se (0.000, 0.486, 0.750)

---

Entry x
Compound: CsKZrSe3
Source: the Open Quantum Materials Database
Functional: GGA-PBE
Structure: relaxed

a b c (Å): 8.589 4.086 10.971
angles (deg): 90.00 95.96 90.00
Space group P2_1/m (No. 11)
One atom of each set of equivalent atoms:
Cs (0.081, 0.250, 0.149)
K (0.255, 0.750, 0.485)
Zr (0.406, 0.250, 0.825)
Se (0.147, 0.250, 0.688)
Se (0.326, 0.750, 0.980)
Se (0.455, 0.250, 0.294)

---

entry x (195 meV/atom below the next structure)

---

Entry w
Compound: CsKTa
Source: the Open Quantum Materials Database
Functional: GGA-PBE
Structure: relaxed

a b c (Å): 8.688 8.688 8.688
angles (deg): 90.00 90.00 90.00
Space group F-43m (No. 216)
One atom of each set of equivalent atoms:
Cs (0.000, 0.000, 0.000)
K (0.250, 0.250, 0.250)
Ta (0.000, 0.000, 0.500)

---

Entry x
Compound: CsKTa
Source: the Open Quantum Materials Database
Functional: GGA-PBE
Structure: relaxed

a b c (Å): 8.755 8.755 8.755
angles (deg): 90.00 90.00 90.00
Space group F-43m (No. 216)
One atom of each set of equivalent atoms:
Cs (0.000, 0.000, 0.000)
K (0.250, 0.250, 0.750)
Ta (0.250, 0.250, 0.250)

---

entry w (76 meV/atom below the next structure)